Entry 1:
# Hf4ZnC2 | the Alexandria database | PBE-GGA | relaxed
# * DOS(E_F): 0.37 states/eV/atom
# * magnetic moment: 0.00 μB/f.u.
# * DFT total energy: -0.671 Ry per atom
# * volume: 443.6 Å³ per cell
data_Hf4ZnC2
_cell_length_a 3.376
_cell_length_b 11.186
_cell_length_c 11.746
_cell_angle_alpha 90.00
_cell_angle_beta 90.00
_cell_angle_gamma 90.00
_symmetry_space_group_name_H-M 'C m c m'
_symmetry_Int_Tables_number 63
_symmetry_space_group_name_Hall '-C 2c 2'
loop_
_atom_site_label
_atom_site_fract_x
_atom_site_fract_y
_atom_site_fract_z
_atom_site_occupancy
Hf1 0.000 0.000 0.000 1
Hf2 0.000 0.261 0.107 1
Hf3 0.000 0.425 0.750 1
Zn1 0.000 0.112 0.750 1
C1 0.000 0.364 0.559 1

=====

Entry 2:
# GeCF | the Alexandria database | PBE-GGA | relaxed
# * DOS(E_F): 0.14 states/eV/atom
# * formation energy from raw total energies: -0.5889 eV per atom
# * magnetic moment: 0.00 μB/f.u.
# * DFT total energy: -0.428 Ry per atom
# * offset from the most stable computed form: 0.0252 eV per atom
# * volume: 85.9 Å³ per cell
data_GeCF
_cell_length_a 2.511
_cell_length_b 4.068
_cell_length_c 8.603
_cell_angle_alpha 99.16
_cell_angle_beta 98.02
_cell_angle_gamma 90.01
_symmetry_space_group_name_H-M 'P -1'
_symmetry_Int_Tables_number 2
loop_
_symmetry_equiv_pos_as_xyz
'x,y,z'
'-x,-y,-z'
loop_
_atom_site_label
_atom_site_fract_x
_atom_site_fract_y
_atom_site_fract_z
_atom_site_occupancy
Ge1 0.113 0.403 0.220 1
C1 0.229 0.486 0.461 1
F1 0.106 0.900 0.200 1

=====

Entry 3:
# YEr2Pt2 | the Alexandria database | PBE-GGA | relaxed
# * DOS(E_F): 0.69 states/eV/atom
# * magnetic moment: 0.00 μB/f.u.
# * DFT total energy: -0.486 Ry per atom
# * offset from the most stable computed form: 0.0000 eV per atom
# * volume: 234.3 Å³ per cell
data_YEr2Pt2
_cell_length_a 7.724
_cell_length_b 7.724
_cell_length_c 3.926
_cell_angle_alpha 90.00
_cell_angle_beta 90.00
_cell_angle_gamma 90.00
_symmetry_space_group_name_H-M 'P 4/m b m'
_symmetry_Int_Tables_number 127
_symmetry_space_group_name_Hall '-P 4 2ab'
loop_
_atom_site_label
_atom_site_fract_x
_atom_site_fract_y
_atom_site_fract_z
_atom_site_occupancy
Y1 0.000 0.000 0.000 1
Er1 0.160 0.340 0.500 1
Pt1 0.139 0.639 0.000 1

=====

Entry 4:
# Nb2AlV2 | the Alexandria database | PBE-GGA | relaxed
# * DOS(E_F): 1.12 states/eV/atom
# * magnetic moment: 0.00 μB/f.u.
# * DFT total energy: -0.577 Ry per atom
# * offset from the most stable computed form: 0.6536 eV per atom
# * volume: 174.9 Å³ per cell
data_Nb2AlV2
_cell_length_a 3.758
_cell_length_b 3.758
_cell_length_c 12.384
_cell_angle_alpha 90.00
_cell_angle_beta 90.00
_cell_angle_gamma 90.00
_symmetry_space_group_name_H-M 'I 4/m m m'
_symmetry_Int_Tables_number 139
_symmetry_space_group_name_Hall '-I 4 2'
loop_
_atom_site_label
_atom_site_fract_x
_atom_site_fract_y
_atom_site_fract_z
_atom_site_occupancy
Nb1 0.000 0.500 0.250 1
Al1 0.000 0.000 0.000 1
V1 0.000 0.000 0.421 1

=====

Entry 5:
# MgTl7In4 | the Alexandria database | PBE-GGA | relaxed
# * DOS(E_F): 0.48 states/eV/atom
# * magnetic moment: 0.00 μB/f.u.
# * DFT total energy: -0.177 Ry per atom
# * volume: 344.8 Å³ per cell
data_MgTl7In4
_cell_length_a 5.5015
_cell_length_b 5.5015
_cell_length_c 13.1526
_cell_angle_alpha 90.00
_cell_angle_beta 90.00
_cell_angle_gamma 120.00
_symmetry_space_group_name_H-M 'P -3 m 1'
_symmetry_Int_Tables_number 164
_symmetry_space_group_name_Hall '-P 3 2"'
loop_
_atom_site_label
_atom_site_fract_x
_atom_site_fract_y
_atom_site_fract_z
_atom_site_occupancy
Mg1 0.0000 0.0000 0.0000 1
Tl1 0.0000 0.0000 0.2404 1
Tl2 0.0000 0.0000 0.5000 1
Tl3 0.3333 0.6667 0.6568 1
Tl4 0.3333 0.6667 0.9124 1
In1 0.3333 0.6667 0.1590 1
In2 0.3333 0.6667 0.4028 1

=====

Entry 6:
# Ti3GaHg | the Alexandria database | PBE-GGA | relaxed
# * DOS(E_F): 1.06 states/eV/atom
# * magnetic moment: 1.61 μB/f.u.
# * DFT total energy: -0.409 Ry per atom
# * offset from the most stable computed form: 0.0000 eV per atom
# * volume: 349.2 Å³ per cell
data_Ti3GaHg
_cell_length_a 9.660
_cell_length_b 3.950
_cell_length_c 9.167
_cell_angle_alpha 90.00
_cell_angle_beta 93.28
_cell_angle_gamma 90.00
_symmetry_space_group_name_H-M 'C 1 2/m 1'
_symmetry_Int_Tables_number 12
loop_
_symmetry_equiv_pos_as_xyz
'x,y,z'
'-x,-y,-z'
'-x,y,-z'
'x,-y,z'
'x+1/2,y+1/2,z'
'-x+1/2,-y+1/2,-z'
'-x+1/2,y+1/2,-z'
'x+1/2,-y+1/2,z'
loop_
_atom_site_label
_atom_site_fract_x
_atom_site_fract_y
_atom_site_fract_z
_atom_site_occupancy
Ti1 0.051 0.000 0.336 1
Ti2 0.062 0.500 0.859 1
Ti3 0.234 0.500 0.224 1
Ga1 0.136 0.000 0.052 1
Hg1 0.150 0.500 0.560 1

=====

Entry 7:
# RbTlGe | the Alexandria database | PBE-GGA | relaxed
# * DOS(E_F): 0.43 states/eV/atom
# * magnetic moment: 0.00 μB/f.u.
# * DFT total energy: -0.198 Ry per atom
# * volume: 442.8 Å³ per cell
data_RbTlGe
_cell_length_a 15.219
_cell_length_b 4.358
_cell_length_c 7.757
_cell_angle_alpha 90.00
_cell_angle_beta 120.62
_cell_angle_gamma 90.00
_symmetry_space_group_name_H-M 'C 1 2/m 1'
_symmetry_Int_Tables_number 12
loop_
_symmetry_equiv_pos_as_xyz
'x,y,z'
'-x,-y,-z'
'-x,y,-z'
'x,-y,z'
'x+1/2,y+1/2,z'
'-x+1/2,-y+1/2,-z'
'-x+1/2,y+1/2,-z'
'x+1/2,-y+1/2,z'
loop_
_atom_site_label
_atom_site_fract_x
_atom_site_fract_y
_atom_site_fract_z
_atom_site_occupancy
Rb1 0.185 0.000 0.185 1
Tl1 0.001 0.500 0.728 1
Ge1 0.096 0.000 0.595 1

=====

Entry 8:
# Ac3Hg | the Alexandria database | PBE-GGA | relaxed
# * DOS(E_F): 1.74 states/eV/atom
# * magnetic moment: 0.00 μB/f.u.
# * DFT total energy: -0.238 Ry per atom
# * offset from the most stable computed form: 0.1515 eV per atom
# * volume: 151.4 Å³ per cell
data_Ac3Hg
_cell_length_a 5.330
_cell_length_b 5.330
_cell_length_c 5.330
_cell_angle_alpha 90.00
_cell_angle_beta 90.00
_cell_angle_gamma 90.00
_symmetry_space_group_name_H-M 'P m -3 m'
_symmetry_Int_Tables_number 221
_symmetry_space_group_name_Hall '-P 4 2 3'
loop_
_atom_site_label
_atom_site_fract_x
_atom_site_fract_y
_atom_site_fract_z
_atom_site_occupancy
Ac1 0.000 0.000 0.500 1
Hg1 0.500 0.500 0.500 1

=====

Q: Which of these has the lowest volume?
A: GeCF